(1)
Compound: ReSb2TeOs
Source: Alexandria
Functional: PBE-GGA
Structure: optimized geometry

The energy above the most stable polymorph in this dataset comes out at 0.000 eV/atom. As for the crystal system: tetragonal. The calculation puts the density of states at the Fermi level at 4.9 states/eV per cell. Its uncorrected formation energy is 154.7 kJ per mole of atoms.

```
data_ReSb2TeOs
_chemical_formula_sum 'Re1 Sb2 Te1 Os1'
_cell_length_a 4.9973
_cell_length_b 4.9973
_cell_length_c 5.4524
_cell_angle_alpha 90.00
_cell_angle_beta 90.00
_cell_angle_gamma 90.00
_symmetry_space_group_name_H-M 'P 4/m m m'
_symmetry_Int_Tables_number 123
_symmetry_space_group_name_Hall '-P 4 2'
loop_
_atom_site_label
_atom_site_type_symbol
_atom_site_fract_x
_atom_site_fract_y
_atom_site_fract_z
Re1 Re 0.0000 0.0000 0.0000
Sb1 Sb 0.0000 0.5000 0.5000
Te1 Te 0.5000 0.5000 0.0000
Os1 Os 0.5000 0.5000 0.5000
```

***

(2)
Compound: TiRe2SbOs
Source: Alexandria
Functional: PBE-GGA
Structure: optimized geometry

As for the crystal system: tetragonal. The calculation puts the density of states at the Fermi level at 6.4 states/eV per cell. Its uncorrected formation energy is 202.7 kJ per mole of atoms.

```
data_TiRe2SbOs
_chemical_formula_sum 'Ti1 Re2 Sb1 Os1'
_cell_length_a 4.5121
_cell_length_b 4.5121
_cell_length_c 4.8159
_cell_angle_alpha 90.00
_cell_angle_beta 90.00
_cell_angle_gamma 90.00
_symmetry_space_group_name_H-M 'P 4/m m m'
_symmetry_Int_Tables_number 123
_symmetry_space_group_name_Hall '-P 4 2'
loop_
_atom_site_label
_atom_site_type_symbol
_atom_site_fract_x
_atom_site_fract_y
_atom_site_fract_z
Ti1 Ti 0.0000 0.0000 0.0000
Re1 Re 0.0000 0.5000 0.0000
Sb1 Sb 0.0000 0.0000 0.5000
Os1 Os 0.5000 0.5000 0.5000
```

***

(3)
Compound: TiReSbOs2
Source: Alexandria
Functional: PBE-GGA
Structure: optimized geometry

As for the crystal system: tetragonal. The calculation puts the density of states at the Fermi level at 4.9 states/eV per cell. Its uncorrected formation energy is 134.1 kJ per mole of atoms.

```
data_TiReSbOs2
_chemical_formula_sum 'Ti1 Re1 Sb1 Os2'
_cell_length_a 4.7754
_cell_length_b 4.7754
_cell_length_c 4.6800
_cell_angle_alpha 90.00
_cell_angle_beta 90.00
_cell_angle_gamma 90.00
_symmetry_space_group_name_H-M 'P 4/m m m'
_symmetry_Int_Tables_number 123
_symmetry_space_group_name_Hall '-P 4 2'
loop_
_atom_site_label
_atom_site_type_symbol
_atom_site_fract_x
_atom_site_fract_y
_atom_site_fract_z
Ti1 Ti 0.0000 0.0000 0.0000
Re1 Re 0.0000 0.0000 0.5000
Sb1 Sb 0.5000 0.5000 0.0000
Os1 Os 0.0000 0.5000 0.5000
```

***

(4)
Compound: TlReSb2Os
Source: Alexandria
Functional: PBE-GGA
Structure: optimized geometry

As for the crystal system: tetragonal. The calculation puts the density of states at the Fermi level at 7.7 states/eV per cell. Its uncorrected formation energy is 153.4 kJ per mole of atoms.

```
data_TlReSb2Os
_chemical_formula_sum 'Tl1 Re1 Sb2 Os1'
_cell_length_a 5.0987
_cell_length_b 5.0987
_cell_length_c 5.2826
_cell_angle_alpha 90.00
_cell_angle_beta 90.00
_cell_angle_gamma 90.00
_symmetry_space_group_name_H-M 'P 4/m m m'
_symmetry_Int_Tables_number 123
_symmetry_space_group_name_Hall '-P 4 2'
loop_
_atom_site_label
_atom_site_type_symbol
_atom_site_fract_x
_atom_site_fract_y
_atom_site_fract_z
Tl1 Tl 0.0000 0.0000 0.0000
Re1 Re 0.0000 0.0000 0.5000
Sb1 Sb 0.0000 0.5000 0.5000
Os1 Os 0.5000 0.5000 0.0000
```

***

(5)
Compound: Sc2ReOs
Source: Alexandria
Functional: PBE-GGA
Structure: optimized geometry

As for the crystal system: monoclinic. The formation energy from the elements comes out at -0.19 eV/f.u. The calculation puts the density of states at the Fermi level at 2.6 states/eV per cell.

```
data_Sc2ReOs
_chemical_formula_sum 'Sc2 Re1 Os1'
_cell_length_a 2.8796
_cell_length_b 4.3854
_cell_length_c 5.3578
_cell_angle_alpha 90.00
_cell_angle_beta 97.68
_cell_angle_gamma 90.00
_symmetry_space_group_name_H-M 'P 1 2/m 1'
_symmetry_Int_Tables_number 10
_symmetry_space_group_name_Hall '-P 2y'
loop_
_atom_site_label
_atom_site_type_symbol
_atom_site_fract_x
_atom_site_fract_y
_atom_site_fract_z
Sc1 Sc 0.2471 0.0000 0.2520
Re1 Re 0.5000 0.5000 0.0000
Os1 Os 0.0000 0.5000 0.5000
```

***

(6)
Compound: ScRe2Os
Source: Alexandria
Functional: PBE-GGA
Structure: optimized geometry

The energy above the most stable polymorph in this dataset comes out at 0.244 eV/atom. As for the crystal system: trigonal. The formation energy from the elements comes out at 0.82 eV/f.u. The calculation puts the density of states at the Fermi level at 9.5 states/eV per cell.

```
data_ScRe2Os
_chemical_formula_sum 'Sc3 Re6 Os3'
_cell_length_a 2.8435
_cell_length_b 2.8435
_cell_length_c 27.4056
_cell_angle_alpha 90.00
_cell_angle_beta 90.00
_cell_angle_gamma 120.00
_symmetry_space_group_name_H-M 'R -3 m'
_symmetry_Int_Tables_number 166
_symmetry_space_group_name_Hall '-R 3 2"'
loop_
_atom_site_label
_atom_site_type_symbol
_atom_site_fract_x
_atom_site_fract_y
_atom_site_fract_z
Sc1 Sc 0.0000 0.0000 0.0000
Re1 Re 0.0000 0.0000 0.2446
Os1 Os 0.0000 0.0000 0.5000
```

***

(7)
Compound: Sc2ReOs
Source: Alexandria
Functional: PBE-GGA
Structure: optimized geometry

As for the crystal system: tetragonal. The formation energy from the elements comes out at -0.59 eV/f.u. The calculation puts the density of states at the Fermi level at 2.1 states/eV per cell.

```
data_Sc2ReOs
_chemical_formula_sum 'Sc2 Re1 Os1'
_cell_length_a 2.9711
_cell_length_b 2.9711
_cell_length_c 8.5111
_cell_angle_alpha 90.00
_cell_angle_beta 90.00
_cell_angle_gamma 90.00
_symmetry_space_group_name_H-M 'P 4 m m'
_symmetry_Int_Tables_number 99
_symmetry_space_group_name_Hall 'P 4 -2'
loop_
_atom_site_label
_atom_site_type_symbol
_atom_site_fract_x
_atom_site_fract_y
_atom_site_fract_z
Sc1 Sc 0.0000 0.0000 0.0000
Sc2 Sc 0.5000 0.5000 0.3508
Re1 Re 0.5000 0.5000 0.7647
Os1 Os 0.0000 0.0000 0.5797
```

***

(8)
Compound: ScRe2Os
Source: Alexandria
Functional: PBE-GGA
Structure: optimized geometry

The energy above the most stable polymorph in this dataset comes out at 0.014 eV/atom. As for the crystal system: tetragonal. The formation energy from the elements comes out at -0.10 eV/f.u. The calculation puts the density of states at the Fermi level at 2.5 states/eV per cell.

```
data_ScRe2Os
_chemical_formula_sum 'Sc1 Re2 Os1'
_cell_length_a 3.1110
_cell_length_b 3.1110
_cell_length_c 6.5318
_cell_angle_alpha 90.00
_cell_angle_beta 90.00
_cell_angle_gamma 90.00
_symmetry_space_group_name_H-M 'P 4 m m'
_symmetry_Int_Tables_number 99
_symmetry_space_group_name_Hall 'P 4 -2'
loop_
_atom_site_label
_atom_site_type_symbol
_atom_site_fract_x
_atom_site_fract_y
_atom_site_fract_z
Sc1 Sc 0.0000 0.0000 0.0000
Re1 Re 0.0000 0.0000 0.5037
Re2 Re 0.5000 0.5000 0.7320
Os1 Os 0.5000 0.5000 0.2543
```

***

(9)
Compound: ScRe2Os
Source: Alexandria
Functional: PBE-GGA
Structure: optimized geometry

The energy above the most stable polymorph in this dataset comes out at 0.228 eV/atom. As for the crystal system: orthorhombic. The formation energy from the elements comes out at 0.75 eV/f.u. The calculation puts the density of states at the Fermi level at 5.9 states/eV per cell.

```
data_ScRe2Os
_chemical_formula_sum 'Sc2 Re4 Os2'
_cell_length_a 3.0627
_cell_length_b 4.5838
_cell_length_c 8.9824
_cell_angle_alpha 90.00
_cell_angle_beta 90.00
_cell_angle_gamma 90.00
_symmetry_space_group_name_H-M 'C m m 2'
_symmetry_Int_Tables_number 35
_symmetry_space_group_name_Hall 'C 2 -2'
loop_
_atom_site_label
_atom_site_type_symbol
_atom_site_fract_x
_atom_site_fract_y
_atom_site_fract_z
Sc1 Sc 0.0000 0.0000 0.0000
Re1 Re 0.0000 0.0000 0.5039
Re2 Re 0.0000 0.5000 0.2636
Os1 Os 0.0000 0.5000 0.7506
```

***

(10)
Compound: ScReOs
Source: Alexandria
Functional: PBE-GGA
Structure: optimized geometry

The energy above the most stable polymorph in this dataset comes out at 0.539 eV/atom. As for the crystal system: orthorhombic. The formation energy from the elements comes out at 0.51 eV/f.u. The calculation puts the density of states at the Fermi level at 10.4 states/eV per cell.

```
data_ScReOs
_chemical_formula_sum 'Sc4 Re4 Os4'
_cell_length_a 3.1687
_cell_length_b 4.5499
_cell_length_c 13.3856
_cell_angle_alpha 90.00
_cell_angle_beta 90.00
_cell_angle_gamma 90.00
_symmetry_space_group_name_H-M 'F m m 2'
_symmetry_Int_Tables_number 42
_symmetry_space_group_name_Hall 'F 2 -2'
loop_
_atom_site_label
_atom_site_type_symbol
_atom_site_fract_x
_atom_site_fract_y
_atom_site_fract_z
Sc1 Sc 0.0000 0.0000 0.0000
Re1 Re 0.0000 0.0000 0.6748
Os1 Os 0.0000 0.0000 0.3329
```

***

(11)
Compound: ScReOs
Source: Alexandria
Functional: PBE-GGA
Structure: optimized geometry

The energy above the most stable polymorph in this dataset comes out at 0.579 eV/atom. As for the crystal system: cubic. The formation energy from the elements comes out at 0.63 eV/f.u. The calculation puts the density of states at the Fermi level at 11.1 states/eV per cell.

```
data_ScReOs
_chemical_formula_sum 'Sc4 Re4 Os4'
_cell_length_a 6.0993
_cell_length_b 6.0993
_cell_length_c 6.0993
_cell_angle_alpha 90.00
_cell_angle_beta 90.00
_cell_angle_gamma 90.00
_symmetry_space_group_name_H-M 'F -4 3 m'
_symmetry_Int_Tables_number 216
_symmetry_space_group_name_Hall 'F -4 2 3'
loop_
_atom_site_label
_atom_site_type_symbol
_atom_site_fract_x
_atom_site_fract_y
_atom_site_fract_z
Sc1 Sc 0.0000 0.0000 0.0000
Re1 Re 0.0000 0.0000 0.5000
Os1 Os 0.2500 0.2500 0.7500
```

***

(12)
Compound: Sc2ReOs
Source: Alexandria
Functional: PBE-GGA
Structure: optimized geometry

As for the crystal system: monoclinic. The formation energy from the elements comes out at -0.17 eV/f.u. The calculation puts the density of states at the Fermi level at 6.4 states/eV per cell.

```
data_Sc2ReOs
_chemical_formula_sum 'Sc4 Re2 Os2'
_cell_length_a 5.7285
_cell_length_b 8.7808
_cell_length_c 2.8794
_cell_angle_alpha 90.00
_cell_angle_beta 112.25
_cell_angle_gamma 90.00
_symmetry_space_group_name_H-M 'C 1 2/m 1'
_symmetry_Int_Tables_number 12
_symmetry_space_group_name_Hall '-C 2y'
loop_
_atom_site_label
_atom_site_type_symbol
_atom_site_fract_x
_atom_site_fract_y
_atom_site_fract_z
Sc1 Sc 0.2500 0.2500 0.0000
Re1 Re 0.0000 0.0000 0.5000
Os1 Os 0.0000 0.5000 0.5000
```